{
  "formula": "Zr2VW2",
  "functional": "GGA-PBE",
  "state": "optimized geometry",
  "delta_e_f_ev_per_fu": 3.85,
  "total_energy_ha_per_atom": -0.355,
  "dos_ef_per_ev_cell": 5.91,
  "de_polymorph_ev_per_fu": 0.00,
  "lattice": [[3.616, 0.000, 0.000], [0.000, 3.616, 0.000], [1.808, 1.808, 7.943]],
  "species": ["W", "W", "Zr", "Zr", "V"],
  "fractional_positions": [[0.750, 0.250, 0.500], [0.250, 0.750, 0.500], [0.402, 0.402, 0.196], [0.598, 0.598, 0.804], [0.000, 0.000, 0.000]]
}

{
  "formula": "CaYCr2",
  "functional": "GGA-PBE",
  "state": "optimized geometry",
  "delta_e_f_ev_per_fu": 1.52,
  "total_energy_ha_per_atom": -0.241,
  "dos_ef_per_ev_cell": 3.97,
  "lattice": [[3.253, 0.016, 0.000], [-0.016, 3.253, 0.000], [0.000, 0.000, 8.635]],
  "species": ["Y", "Cr", "Cr", "Ca"],
  "fractional_positions": [[0.000, 0.000, 0.434], [0.000, 0.000, 0.075], [0.500, 0.500, 0.187], [0.500, 0.500, 0.805]]
}